A relaxed FeCuPtO6 crystal, computed with GGA+U.

The structure belongs to space group P-31c (No. 163); the cell edges are 5.0870, 5.0870 and 8.5258 Å and the angles 90.00°, 90.00° and 120.00°. Symmetry generates all atoms from Fe at (0.3333, 0.6667, 0.2500), Cu at (0.0000, 0.0000, 0.0000), Pt at (0.3333, 0.6667, 0.7500) and O at (0.0017, 0.3464, 0.1246).

For the volume, the calculation gives 96 Å³/f.u. As for the magnetization: 5.48 Bohr magnetons per cell. The electronic total energy comes out at -100.5 eV per cell.